DFT (PBE-GGA) results for Ac5SbPb2 after structural relaxation.

a = 9.2408 Å, b = 13.7263 Å, c = 5.0165 Å
α = 90.00°, β = 90.00°, γ = 90.00°
Space group Pbam (No. 55)
Unique sites:
Ac 0.0000 0.0000 0.0000 [2 per cell]
Ac 0.1531 0.2867 0.0000 [4 per cell]
Ac 0.2062 0.5731 0.5000 [4 per cell]
Sb 0.0000 0.5000 0.0000 [2 per cell]
Pb 0.0768 0.8254 0.5000 [4 per cell]

Output
The calculation puts the energy at -4.60 eV/atom.


DFT (PBE-GGA) results for Ac10Sb3Pb3 after structural relaxation.

a = 9.9338 Å, b = 9.9338 Å, c = 7.2051 Å
α = 90.00°, β = 90.00°, γ = 120.00°
Space group P-62m (No. 189)
Unique sites:
Ac 0.0000 0.2463 0.0000 [3 per cell]
Ac 0.0000 0.7543 0.5000 [3 per cell]
Ac 0.3333 0.6667 0.2550 [4 per cell]
Sb 0.0000 0.3880 0.5000 [3 per cell]
Pb 0.0000 0.6081 0.0000 [3 per cell]

Output
The calculation puts the energy at -4.71 eV/atom.


DFT (PBE-GGA) results for Ac3SbPb after structural relaxation.

a = 6.2215 Å, b = 6.2215 Å, c = 6.2215 Å
α = 90.00°, β = 90.00°, γ = 90.00°
Space group Pm-3m (No. 221)
Unique sites:
Ac 0.0000 0.0000 0.5000 [3 per cell]
Sb 0.0000 0.0000 0.0000 [1 per cell]
Pb 0.5000 0.5000 0.5000 [1 per cell]

Output
The calculation puts the energy at -4.22 eV/atom. As for the offset from the most stable computed form: 0.4225 eV/atom.


DFT (PBE-GGA) results for Ac2Sb4Pb after structural relaxation.

a = 4.5048 Å, b = 4.5048 Å, c = 12.2353 Å
α = 90.00°, β = 90.00°, γ = 90.00°
Space group P-4m2 (No. 115)
Unique sites:
Ac 0.0000 0.5000 0.2183 [2 per cell]
Sb 0.0000 0.0000 0.0000 [1 per cell]
Sb 0.0000 0.5000 0.6814 [2 per cell]
Sb 0.5000 0.5000 0.0000 [1 per cell]
Pb 0.0000 0.0000 0.5000 [1 per cell]

Output
The calculation puts the energy at -4.73 eV/atom.


DFT (PBE-GGA) results for AcSbPb after structural relaxation.

a = 4.1753 Å, b = 4.1753 Å, c = 11.3767 Å
α = 90.00°, β = 90.00°, γ = 90.00°
Space group I4mm (No. 107)
Unique sites:
Ac 0.0000 0.0000 0.0000 [2 per cell]
Sb 0.0000 0.0000 0.3267 [2 per cell]
Pb 0.0000 0.0000 0.7008 [2 per cell]

Output
The calculation puts the energy at -4.45 eV/atom. As for the offset from the most stable computed form: 0.0416 eV/atom.


DFT (PBE-GGA) results for Ac2SbPb after structural relaxation.

a = 4.9059 Å, b = 26.3925 Å, c = 4.7522 Å
α = 90.00°, β = 90.00°, γ = 90.00°
Space group Cmcm (No. 63)
Unique sites:
Ac 0.0000 0.0647 0.2500 [4 per cell]
Ac 0.0000 0.3141 0.2500 [4 per cell]
Sb 0.0000 0.1883 0.2500 [4 per cell]
Pb 0.0000 0.4555 0.2500 [4 per cell]

Output
The calculation puts the energy at -4.88 eV/atom. As for the offset from the most stable computed form: 0.0000 eV/atom.


DFT (PBE-GGA) results for AcSbPb after structural relaxation.

a = 7.8237 Å, b = 7.8237 Å, c = 7.8237 Å
α = 90.00°, β = 90.00°, γ = 90.00°
Space group F-43m (No. 216)
Unique sites:
Ac 0.0000 0.0000 0.0000 [4 per cell]
Sb 0.2500 0.2500 0.7500 [4 per cell]
Pb 0.2500 0.2500 0.2500 [4 per cell]

Output
The calculation puts the energy at -4.20 eV/atom. As for the offset from the most stable computed form: 0.2852 eV/atom.


DFT (PBE-GGA) results for Ac2SbPb after structural relaxation.

a = 4.0328 Å, b = 4.0328 Å, c = 8.6781 Å
α = 90.00°, β = 90.00°, γ = 90.00°
Space group P4/mmm (No. 123)
Unique sites:
Ac 0.0000 0.0000 0.2300 [2 per cell]
Sb 0.5000 0.5000 0.0000 [1 per cell]
Pb 0.5000 0.5000 0.5000 [1 per cell]

Output
The calculation puts the energy at -4.74 eV/atom. As for the offset from the most stable computed form: 0.1469 eV/atom.


DFT (PBE-GGA) results for Ac3Sb4Pb after structural relaxation.

a = 6.7486 Å, b = 6.7486 Å, c = 6.7486 Å
α = 90.00°, β = 90.00°, γ = 90.00°
Space group Pm-3m (No. 221)
Unique sites:
Ac 0.0000 0.0000 0.5000 [3 per cell]
Sb 0.0000 0.0000 0.0000 [1 per cell]
Sb 0.0000 0.5000 0.5000 [3 per cell]
Pb 0.5000 0.5000 0.5000 [1 per cell]

Output
The calculation puts the energy at -4.89 eV/atom.


DFT (PBE-GGA) results for Ac4SbPb2 after structural relaxation.

a = 10.2417 Å, b = 10.2417 Å, c = 10.2044 Å
α = 90.00°, β = 90.00°, γ = 90.00°
Space group I-42d (No. 122)
Unique sites:
Ac 0.0699 0.6828 0.4453 [16 per cell]
Sb 0.0000 0.0000 0.5000 [4 per cell]
Pb 0.1256 0.7500 0.1250 [8 per cell]

Output
The calculation puts the energy at -4.70 eV/atom.


DFT (PBE-GGA) results for AcSb3Pb after structural relaxation.

a = 15.1370 Å, b = 6.3832 Å, c = 6.6952 Å
α = 90.00°, β = 90.00°, γ = 90.00°
Space group Pbcm (No. 57)
Unique sites:
Ac 0.1721 0.0009 0.2500 [4 per cell]
Sb 0.0008 0.7500 0.0000 [4 per cell]
Sb 0.2372 0.0035 0.7500 [4 per cell]
Sb 0.3993 0.2315 0.2500 [4 per cell]
Pb 0.3965 0.7500 0.0000 [4 per cell]

Output
The calculation puts the energy at -4.50 eV/atom.


DFT (PBE-GGA) results for Ac3SbPb after structural relaxation.

a = 7.9979 Å, b = 4.7844 Å, c = 10.6663 Å
α = 90.00°, β = 94.83°, γ = 90.00°
Space group P2_1/m (No. 11)
Unique sites:
Ac 0.0059 0.2500 0.3238 [2 per cell]
Ac 0.2610 0.2500 0.9317 [2 per cell]
Ac 0.4585 0.2500 0.3188 [2 per cell]
Sb 0.1943 0.7500 0.1473 [2 per cell]
Pb 0.2626 0.2500 0.5968 [2 per cell]

Output
The calculation puts the energy at -4.64 eV/atom. As for the offset from the most stable computed form: 0.0000 eV/atom.


DFT (PBE-GGA) results for Ac8Sb4PbSe3 after structural relaxation.

a = 16.2512 Å, b = 9.3993 Å, c = 9.3881 Å
α = 90.00°, β = 125.18°, γ = 90.00°
Space group C2/m (No. 12)
Unique sites:
Ac 0.0020 0.2484 0.2500 [8 per cell]
Ac 0.2481 0.0000 0.2502 [4 per cell]
Ac 0.2502 0.0000 0.7455 [4 per cell]
Sb 0.0000 0.0000 0.5000 [2 per cell]
Sb 0.0000 0.5000 0.5000 [2 per cell]
Sb 0.2500 0.2500 0.0000 [4 per cell]
Pb 0.0000 0.5000 0.0000 [2 per cell]
Se 0.0000 0.0000 0.0000 [2 per cell]
Se 0.2500 0.2500 0.5000 [4 per cell]

Output
The calculation puts the energy at -5.37 eV/atom.


DFT (PBE-GGA) results for Ac6SbPb3Se2 after structural relaxation.

a = 20.7614 Å, b = 4.7188 Å, c = 9.5353 Å
α = 90.00°, β = 104.56°, γ = 90.00°
Space group C2/m (No. 12)
Unique sites:
Ac 0.0043 0.0000 0.2496 [4 per cell]
Ac 0.1671 0.5000 0.0875 [4 per cell]
Ac 0.1692 0.5000 0.5760 [4 per cell]
Sb 0.0000 0.5000 0.0000 [2 per cell]
Pb 0.0000 0.5000 0.5000 [2 per cell]
Pb 0.1656 0.0000 0.8278 [4 per cell]
Se 0.1683 0.0000 0.3340 [4 per cell]

Output
The calculation puts the energy at -4.96 eV/atom.


DFT (PBE-GGA) results for Ac4SbPbSe2 after structural relaxation.

a = 7.9877 Å, b = 4.7089 Å, c = 8.1461 Å
α = 90.00°, β = 109.90°, γ = 90.00°
Space group P2/m (No. 10)
Unique sites:
Ac 0.2441 0.0000 0.2472 [2 per cell]
Ac 0.2439 0.5000 0.7486 [2 per cell]
Sb 0.5000 0.5000 0.5000 [1 per cell]
Pb 0.5000 0.0000 0.0000 [1 per cell]
Se 0.0000 0.0000 0.5000 [1 per cell]
Se 0.0000 0.5000 0.0000 [1 per cell]

Output
The calculation puts the energy at -5.29 eV/atom.


DFT (PBE-GGA) results for Ac6Sb2PbSe3 after structural relaxation.

a = 20.2209 Å, b = 4.6970 Å, c = 9.2481 Å
α = 90.00°, β = 102.08°, γ = 90.00°
Space group C2/m (No. 12)
Unique sites:
Ac 0.0016 0.0000 0.2465 [4 per cell]
Ac 0.1649 0.5000 0.0871 [4 per cell]
Ac 0.1679 0.5000 0.5788 [4 per cell]
Sb 0.1674 0.0000 0.8345 [4 per cell]
Pb 0.0000 0.5000 0.5000 [2 per cell]
Se 0.0000 0.5000 0.0000 [2 per cell]
Se 0.1674 0.0000 0.3322 [4 per cell]

Output
The calculation puts the energy at -5.36 eV/atom.


DFT (PBE-GGA) results for Ac4SbPb2Se after structural relaxation.

a = 8.1523 Å, b = 4.6852 Å, c = 8.4535 Å
α = 90.00°, β = 108.67°, γ = 90.00°
Space group P2/m (No. 10)
Unique sites:
Ac 0.2436 0.0000 0.2403 [2 per cell]
Ac 0.2496 0.5000 0.7580 [2 per cell]
Sb 0.5000 0.0000 0.0000 [1 per cell]
Pb 0.0000 0.0000 0.5000 [1 per cell]
Pb 0.5000 0.5000 0.5000 [1 per cell]
Se 0.0000 0.5000 0.0000 [1 per cell]

Output
The calculation puts the energy at -4.93 eV/atom.


DFT (PBE-GGA) results for AcSmSbPb after structural relaxation.

a = 8.0329 Å, b = 8.0329 Å, c = 8.0329 Å
α = 90.00°, β = 90.00°, γ = 90.00°
Space group F-43m (No. 216)
Unique sites:
Ac 0.0000 0.0000 0.0000 [4 per cell]
Sm 0.0000 0.0000 0.5000 [4 per cell]
Sb 0.2500 0.2500 0.7500 [4 per cell]
Pb 0.2500 0.2500 0.2500 [4 per cell]

Output
The calculation puts the energy at -4.77 eV/atom.


DFT (PBE-GGA) results for Ac6Sb3Te2Pb after structural relaxation.

a = 8.3118 Å, b = 14.3804 Å, c = 8.3154 Å
α = 90.00°, β = 109.40°, γ = 90.00°
Space group C2/m (No. 12)
Unique sites:
Ac 0.2427 0.0000 0.2437 [4 per cell]
Ac 0.2493 0.1642 0.7553 [8 per cell]
Sb 0.0000 0.1692 0.0000 [4 per cell]
Sb 0.0000 0.5000 0.0000 [2 per cell]
Te 0.0000 0.3342 0.5000 [4 per cell]
Pb 0.0000 0.0000 0.5000 [2 per cell]

Output
The calculation puts the energy at -5.16 eV/atom.


DFT (PBE-GGA) results for Ac6SbTe2Pb3 after structural relaxation.

a = 21.1388 Å, b = 4.7862 Å, c = 9.7395 Å
α = 90.00°, β = 104.23°, γ = 90.00°
Space group C2/m (No. 12)
Unique sites:
Ac 0.0014 0.0000 0.2543 [4 per cell]
Ac 0.1654 0.5000 0.0867 [4 per cell]
Ac 0.1659 0.5000 0.5779 [4 per cell]
Sb 0.0000 0.5000 0.5000 [2 per cell]
Te 0.1670 0.0000 0.8337 [4 per cell]
Pb 0.0000 0.5000 0.0000 [2 per cell]
Pb 0.1682 0.0000 0.3321 [4 per cell]

Output
The calculation puts the energy at -4.82 eV/atom.


no.,total magnetic moment (μB per formula unit),raw formation energy (eV per atom)
1,0.0,-0.59
2,0.0,-0.68
3,0.0,-0.18
4,0.0,-0.67
5,0.0,-0.47
6,0.0,-0.87
7,0.0,-0.22
8,0.0,-0.72
9,0.0,-0.83
10,0.0,-0.71
11,0.0,-0.46
12,0.4,-0.61
13,0.0,-1.40
14,0.0,-1.06
15,0.0,-1.38
16,0.0,-1.44
17,0.0,-1.00
18,0.0,-0.61
19,0.0,-1.25
20,0.0,-0.97